# 1
VASP calculation (PBE) on a geometry-optimized BaSb2Pd2 structure.

## Properties
Space group: Fmmm, No. 69

The structure in extended XYZ format:
```
10
Lattice="-2.400 3.803 -1.564 -1.382 -2.454 -3.839 -7.179 -4.139 8.172" Properties=species:S:1:pos:R:3 pbc="T T T"
Ba -4.080 -0.162 -1.381
Ba -6.882 -2.628 4.150
Pd -7.513 -1.472 0.687
Pd -1.200 1.902 -0.782
Pd -3.448 -1.318 2.082
Pd -0.691 -1.227 -1.919
Sb -5.735 0.166 1.952
Sb -5.227 -2.956 0.817
Sb -9.739 -2.322 2.030
Sb -1.223 -0.468 0.739
```

***

# 2
VASP calculation (PBE) on a geometry-optimized BaSb4Pd6 structure.

## Properties
Space group: I-42m, No. 121

The structure in extended XYZ format:
```
11
Lattice="6.992 -0.052 -0.076 -3.279 6.176 0.076 -3.279 -2.200 5.771" Properties=species:S:1:pos:R:3 pbc="T T T"
Pd -1.391 2.145 3.155
Pd 3.292 0.889 1.308
Pd -4.012 3.735 2.692
Pd 1.857 3.062 0.000
Pd -4.012 1.131 4.463
Pd 1.857 -1.126 2.847
Sb -2.223 -0.383 3.159
Sb 1.123 1.776 2.612
Sb -2.223 3.079 0.806
Sb -2.799 3.428 5.042
Ba 0.000 0.000 0.000
```

***

# 3
VASP calculation (PBE) on a geometry-optimized BaSb3Pd3 structure.

## Properties
Space group: Pm-3n, No. 223
Distance to the lowest polymorph of the same formula: 0.000 eV per atom

The structure in extended XYZ format:
```
14
Lattice="7.368 0.000 0.000 0.000 7.368 0.000 0.000 0.000 7.368" Properties=species:S:1:pos:R:3 pbc="T T T"
Ba 3.684 3.684 3.684
Ba 0.000 0.000 0.000
Pd 1.842 0.000 3.684
Pd 0.000 3.684 5.526
Pd 3.684 1.842 0.000
Pd 5.526 0.000 3.684
Pd 3.684 5.526 0.000
Pd 0.000 3.684 1.842
Sb 1.842 3.684 0.000
Sb 3.684 0.000 5.526
Sb 5.526 3.684 0.000
Sb 0.000 5.526 3.684
Sb 3.684 0.000 1.842
Sb 0.000 1.842 3.684
```

***

Values for energy relative to the elements, uncorrected, eV per atom, ordered as above
-0.776, -0.494, -0.508